Entry 1:
VFeAu2 | PBE | relaxed

Energy relative to the lowest polymorph listed for this composition, kJ/mol of atoms: 0.00
DFT total energy, eV/atom: -5.8664
Energy of formation, meV/atom: 168

Cell: 4.4843 4.4843 4.4843 Å, 60.00 60.00 60.00°
Atoms (fractional coordinates):
1 V 0.0000 0.0000 0.0000
2 Fe 0.5000 0.5000 0.5000
3 Au 0.2500 0.2500 0.2500
4 Au 0.7500 0.7500 0.7500

---

Entry 2:
Dy4TlPbSe2 | PBE | relaxed

Formation energy from raw total energies, eV per formula unit: -8.59
DFT total energy, eV/atom: -5.0046

Cell: 6.8391 3.9764 8.2469 Å, 90.00 106.39 90.00°
Atoms (fractional coordinates):
1 Dy 0.2376 0.0000 0.2169
2 Dy 0.2580 0.5000 0.7832
3 Dy 0.7420 0.5000 0.2168
4 Dy 0.7624 0.0000 0.7831
5 Tl 0.0000 0.0000 0.5000
6 Pb 0.5000 0.5000 0.5000
7 Se 0.0000 0.5000 0.0000
8 Se 0.5000 0.0000 0.0000

---

Entry 3:
Cd2WC | PBE | relaxed

DFT total energy, eV/atom: -4.8060
Energy of formation, meV/atom: 1196

Cell: 6.2684 6.2684 6.2684 Å, 96.35 96.35 141.15°
Atoms (fractional coordinates):
1 Cd 0.0130 0.1250 0.3880
2 Cd 0.3750 0.9870 0.1120
3 Cd 0.7370 0.6250 0.6120
4 Cd 0.8750 0.2630 0.8880
5 W 0.2500 0.7500 0.5000
6 W 0.5000 0.5000 0.0000
7 C 0.0000 0.0000 0.0000
8 C 0.7500 0.2500 0.5000